a) DFT (PBE-GGA) results for crystalline MnIn3Os at its relaxed geometry.

Values from the calculation:
Space-group type   Pm-3m (221)

Structure (extended XYZ):
```
5
Lattice="5.177 0.000 0.000 0.000 5.177 0.000 0.000 0.000 5.177" Properties=species:S:1:pos:R:3 pbc="T T T"
Mn 2.588 2.588 2.588
Os 0.000 0.000 0.000
In 0.000 2.588 0.000
In 0.000 0.000 2.588
In 2.588 0.000 0.000
```

b) DFT (PBE-GGA) results for crystalline MnIn3Os at its relaxed geometry.

Values from the calculation:
Space-group type   Pm-3m (221)

Structure (extended XYZ):
```
5
Lattice="4.951 0.000 0.000 0.000 4.951 0.000 0.000 0.000 4.951" Properties=species:S:1:pos:R:3 pbc="T T T"
Mn 0.000 0.000 0.000
Os 2.476 2.476 2.476
In 0.000 2.476 0.000
In 0.000 0.000 2.476
In 2.476 0.000 0.000
```

Referenced to the most stable arrangement, the calculated values in kJ/mol of atoms are a) 0.0; b) 59.5.